## Sm5Ho2Ga4 (GGA-PBE)

Data for Sm5Ho2Ga4 after structural relaxation.

Cell: 4.685 11.158 9.025 Å, 128.18 105.04 90.00°
Sites, in units of the cell vectors:
Sm  0.149  0.480  0.297
Sm  0.851  0.520  0.703
Sm  0.149  0.817  0.297
Sm  0.500  0.000  0.000
Sm  0.851  0.183  0.703
Ho  0.804  0.804  0.608
Ho  0.196  0.196  0.392
Ga  0.593  0.593  0.186
Ga  0.000  0.141  0.000
Ga  0.407  0.407  0.814
Ga  0.000  0.859  0.000

- Calculated formation energy: -43 meV/atom
- Space-group type: Immm, No. 71
- Total energy: -4.12 eV per atom
- Total magnetization: 0.00 Bohr magnetons per cell